# 1
Sr2NpN2O2 GGA-PBE relaxed; final energy = -56.77 eV/f.u.
1.0
4.215 0.000 0.000
0.000 4.215 0.000
-2.107 -2.107 6.520
O Sr N Np
2 2 2 1
direct
0.833 0.833 0.667
0.167 0.167 0.333
0.354 0.354 0.708
0.646 0.646 0.292
0.500 0.000 0.000
0.000 0.500 0.000
0.000 0.000 0.000

# 2
PmDyI GGA-PBE relaxed; final energy = -12.50 eV/f.u.
1.0
3.869 0.000 0.000
-1.934 3.350 0.000
0.000 0.000 7.677
Dy Pm I
1 1 1
direct
0.333 0.667 0.655
0.000 0.000 0.007
0.667 0.333 0.338

# 3
Tb2ScCd6 GGA-PBE relaxed; energy relative to the elements = -0.2847 eV/atom
1.0
3.356 0.000 0.000
0.000 7.433 -4.292
0.000 0.000 8.583
Cd Tb Sc
6 2 1
direct
0.500 0.671 0.671
0.500 0.329 0.000
0.500 0.329 0.329
0.500 0.000 0.671
0.500 0.671 0.000
0.500 0.000 0.329
0.000 0.667 0.333
0.000 0.333 0.667
0.000 0.000 0.000

# 4
RbSc2AgTe4 GGA-PBE relaxed; final energy = -36.69 eV/f.u.
1.0
-3.732 -0.292 -2.166
5.630 -0.770 -5.279
-0.061 -15.349 2.173
Rb Te Sc Ag
2 8 4 2
direct
0.129 0.258 0.750
0.871 0.742 0.250
0.000 0.000 0.500
0.553 0.106 0.250
0.742 0.484 0.905
0.000 0.000 0.000
0.447 0.894 0.750
0.258 0.516 0.095
0.258 0.516 0.405
0.742 0.484 0.595
0.626 0.253 0.071
0.626 0.253 0.429
0.374 0.747 0.571
0.374 0.747 0.929
0.167 0.334 0.250
0.833 0.666 0.750